MgNiMo2O8 after structural relaxation. Source: Alexandria, functional PBE with a Hubbard U.

Values from the calculation:
- Space-group type: I-4m2, No. 119
- Magnetization: 0.167 μB per atom
- Crystal system: tetragonal
- Total energy: -76.2 eV per formula unit

```
MgNiMo2O8
1.0
-3.3086 3.3086 3.6178
3.3086 -3.3086 3.6178
3.3086 3.3086 -3.6178
Mg Ni Mo O
1 1 2 8
Direct
0.0000 0.0000 0.0000
0.2500 0.7500 0.5000
0.5000 0.5000 0.0000
0.7500 0.2500 0.5000
0.3519 0.1325 0.7806
0.3519 0.5713 0.2194
0.3856 0.1056 0.2800
0.4287 0.6481 0.7806
0.8256 0.1056 0.7200
0.8675 0.6481 0.2194
0.8944 0.1744 0.2800
0.8944 0.6144 0.7200
```